(1)
A plane-wave DFT calculation with PBE was carried out for PmH4Au after structural relaxation.

Cell and atoms, written as POSCAR:
```
PmH4Au
1.0
3.629 0.010 1.690
1.313 3.908 1.939
0.107 -0.109 4.553
Pm H Au
1 4 1
Cartesian
0.720 1.910 3.249 Pm
2.654 0.328 3.836 H
2.415 3.502 4.351 H
1.866 1.674 5.541 H
3.203 2.157 2.647 H
1.932 -0.093 5.401 Au
```

Fermi-level density of states: 0.114 states/eV/atom
space group: C2/m
V: 10.722 A^3/atom
final energy: -22.7 eV for the cell shown

***

(2)
A plane-wave DFT calculation with PBE was carried out for SmEr3Co after structural relaxation.

Cell and atoms, written as POSCAR:
```
SmEr3Co
1.0
3.703 0.000 0.000
-1.852 6.531 -0.314
0.000 0.427 11.077
Sm Er Co
2 6 2
Cartesian
1.852 4.714 9.853 Sm
0.000 2.244 0.910 Sm
0.000 0.958 4.079 Er
1.852 6.000 6.684 Er
0.000 5.778 1.431 Er
1.852 1.180 9.332 Er
0.000 3.070 6.915 Er
1.852 3.888 3.848 Er
1.852 1.339 6.123 Co
0.000 5.619 4.640 Co
```

Fermi-level density of states: 1.140 states/eV/atom
space group: C2/m
energy relative to the elements: -0.10 eV per atom
offset from the most stable computed form: 0.0 meV per atom
V: 26.844 A^3/atom

***

(3)
A plane-wave DFT calculation with PBE was carried out for CsCd after structural relaxation.

Cell and atoms, written as POSCAR:
```
CsCd
1.0
8.828 0.000 0.000
0.000 8.828 0.000
0.000 0.000 8.828
Cs Cd
4 4
Cartesian
0.000 0.000 0.000 Cs
0.000 4.414 4.414 Cs
4.414 0.000 4.414 Cs
4.414 4.414 0.000 Cs
2.207 2.207 2.207 Cd
2.207 6.621 6.621 Cd
6.621 2.207 6.621 Cd
6.621 6.621 2.207 Cd
```

Fermi-level density of states: 1.569 states/eV/atom
space group: F-43m
energy relative to the elements: 0.28 eV per atom
V: 86.011 A^3/atom

***

(4)
A plane-wave DFT calculation with PBE was carried out for RbPaGaO5 after structural relaxation.

Cell and atoms, written as POSCAR:
```
RbPaGaO5
1.0
6.302 0.076 -0.107
-1.767 6.049 -0.107
-2.016 -2.723 7.534
Rb Pa Ga O
2 2 2 10
Cartesian
0.396 3.394 1.777 Rb
2.123 0.009 5.544 Rb
-1.008 -1.361 3.767 Pa
0.000 0.000 0.000 Pa
3.296 1.247 1.777 Ga
-0.777 2.155 5.544 Ga
-1.829 5.042 1.777 O
4.348 -1.639 5.544 O
4.834 1.444 0.715 O
-2.315 1.959 6.605 O
3.557 -0.280 2.838 O
-1.038 3.683 4.482 O
2.998 2.804 2.782 O
-0.479 0.599 4.538 O
1.720 1.078 0.771 O
0.799 2.325 6.549 O
```

Fermi-level density of states: 0.894 states/eV/atom
space group: C2/c
E_form (uncorrected): -1830 kJ/mol of formula units
V: 17.787 A^3/atom

***

The highest Fermi-level density of states belongs to which entry? CsCd

***

Which value of V does entry 2 give? 26.844 A^3/atom

***

Repeat the third record exactly.
A plane-wave DFT calculation with PBE was carried out for CsCd after structural relaxation.

Cell and atoms, written as POSCAR:
```
CsCd
1.0
8.828 0.000 0.000
0.000 8.828 0.000
0.000 0.000 8.828
Cs Cd
4 4
Cartesian
0.000 0.000 0.000 Cs
0.000 4.414 4.414 Cs
4.414 0.000 4.414 Cs
4.414 4.414 0.000 Cs
2.207 2.207 2.207 Cd
2.207 6.621 6.621 Cd
6.621 2.207 6.621 Cd
6.621 6.621 2.207 Cd
```

Fermi-level density of states: 1.569 states/eV/atom
space group: F-43m
energy relative to the elements: 0.28 eV per atom
V: 86.011 A^3/atom

***

Which of these has the highest V? CsCd